Computed, not measured: Ac2ZnAu after structural relaxation at the GGA-PBEsol level of DFT.

Cell and atoms, written as extended XYZ:
```
4
Lattice="5.430 0.000 0.000 2.715 4.703 0.000 2.715 1.568 4.434" Properties=species:S:1:pos:R:3 pbc="T T T"
Au 5.430 3.135 2.217
Zn 0.000 0.000 0.000
Ac 2.715 1.568 1.108
Ac 8.145 4.703 3.325
```

Values from the calculation:
V = 113.22 Å³ per cell
total magnetic moment = 0.00 μB per formula unit
total energy = -4.097 eV per atom
space-group type = Fm-3m (225)
energy of formation from the pure elements = -0.469 eV per atom
mass density = 10.51 g/cm3
D(E_F) = 3.058 states/eV per cell

---

Computed, not measured: AcBr3 after structural relaxation at the GGA-PBEsol level of DFT.

Cell and atoms, written as extended XYZ:
```
8
Lattice="-4.541 -0.667 0.701 1.575 -7.102 3.445 -0.287 6.675 4.489" Properties=species:S:1:pos:R:3 pbc="T T T"
Ac -0.181 -2.676 3.968
Ac -3.072 1.583 4.667
Br -0.429 1.567 6.398
Br -2.824 -2.661 2.237
Br -0.775 0.278 2.934
Br -2.052 -4.996 5.018
Br -1.202 3.902 3.617
Br -2.479 -1.372 5.701
```

Values from the calculation:
V = 260.51 Å³ per cell
total magnetic moment = 0.00 μB per formula unit
total energy = -4.615 eV per atom
space-group type = P6_3/m (176)
mass density = 5.95 g/cm3
D(E_F) = 0.000 states/eV per cell

---

Computed, not measured: CaAcHg2 after structural relaxation at the GGA-PBEsol level of DFT.

Cell and atoms, written as extended XYZ:
```
4
Lattice="-3.624 0.064 -4.077 1.344 -2.045 -4.875 -2.255 -4.661 -1.718" Properties=species:S:1:pos:R:3 pbc="T T T"
Hg -3.401 -4.982 -8.003
Hg -1.134 -1.661 -2.668
Ca 0.000 0.000 0.000
Ac -2.267 -3.321 -5.335
```

Values from the calculation:
V = 114.79 Å³ per cell
total magnetic moment = 0.00 μB per formula unit
total energy = -2.550 eV per atom
space-group type = Fm-3m (225)
energy of formation from the pure elements = -0.607 eV per atom
mass density = 9.67 g/cm3
D(E_F) = 2.618 states/eV per cell

---

Computed, not measured: CaAcMg2 after structural relaxation at the GGA-PBEsol level of DFT.

Cell and atoms, written as extended XYZ:
```
4
Lattice="-0.011 5.475 -1.451 -4.767 2.427 -1.862 -2.703 3.782 3.236" Properties=species:S:1:pos:R:3 pbc="T T T"
Ac -3.740 5.841 -0.038
Ca 0.000 0.000 0.000
Mg -1.870 2.921 -0.019
Mg -5.611 8.762 -0.058
```

Values from the calculation:
V = 128.46 Å³ per cell
total magnetic moment = 0.00 μB per formula unit
total energy = -2.602 eV per atom
space-group type = Fm-3m (225)
energy of formation from the pure elements = -0.085 eV per atom
mass density = 4.08 g/cm3
D(E_F) = 3.663 states/eV per cell

---

Computed, not measured: Ac2CdGa after structural relaxation at the GGA-PBEsol level of DFT.

Cell and atoms, written as extended XYZ:
```
4
Lattice="5.553 0.000 0.000 2.777 4.809 0.000 2.777 1.603 4.534" Properties=species:S:1:pos:R:3 pbc="T T T"
Ac 8.330 4.809 3.401
Ac 2.777 1.603 1.134
Ga 0.000 0.000 0.000
Cd 5.553 3.206 2.267
```

Values from the calculation:
V = 121.09 Å³ per cell
total magnetic moment = 0.00 μB per formula unit
total energy = -3.747 eV per atom
space-group type = Fm-3m (225)
energy of formation from the pure elements = -0.361 eV per atom
mass density = 8.72 g/cm3
D(E_F) = 4.446 states/eV per cell

---

Computed, not measured: Ac2CdGe after structural relaxation at the GGA-PBEsol level of DFT.

Cell and atoms, written as extended XYZ:
```
4
Lattice="-5.202 0.117 1.868 -1.125 -1.660 5.152 -1.477 3.697 3.835" Properties=species:S:1:pos:R:3 pbc="T T T"
Ge -3.902 1.077 5.427
Ac -5.853 1.616 8.141
Ac -1.951 0.539 2.714
Cd 0.000 0.000 0.000
```

Values from the calculation:
V = 119.48 Å³ per cell
total magnetic moment = 0.00 μB per formula unit
total energy = -4.209 eV per atom
space-group type = Fm-3m (225)
energy of formation from the pure elements = -0.423 eV per atom
mass density = 8.88 g/cm3
D(E_F) = 4.017 states/eV per cell

---

Computed, not measured: AcCdHg2 after structural relaxation at the GGA-PBEsol level of DFT.

Cell and atoms, written as extended XYZ:
```
4
Lattice="-1.653 -3.947 -3.079 2.576 -1.119 -4.462 2.841 -4.426 -0.364" Properties=species:S:1:pos:R:3 pbc="T T T"
Hg 2.823 -7.120 -5.928
Hg 0.941 -2.373 -1.976
Cd 0.000 0.000 0.000
Ac 1.882 -4.747 -3.952
```

Values from the calculation:
V = 103.61 Å³ per cell
total magnetic moment = 0.00 μB per formula unit
total energy = -2.176 eV per atom
space-group type = Fm-3m (225)
energy of formation from the pure elements = -0.467 eV per atom
mass density = 11.87 g/cm3
D(E_F) = 2.045 states/eV per cell

---

Computed, not measured: AcMgCd2 after structural relaxation at the GGA-PBEsol level of DFT.

Cell and atoms, written as extended XYZ:
```
4
Lattice="5.328 0.000 0.000 2.664 4.615 0.000 2.664 1.538 4.351" Properties=species:S:1:pos:R:3 pbc="T T T"
Ac 5.328 3.076 2.175
Mg 0.000 0.000 0.000
Cd 2.664 1.538 1.088
Cd 7.993 4.615 3.263
```

Values from the calculation:
V = 106.97 Å³ per cell
total magnetic moment = 0.00 μB per formula unit
total energy = -2.429 eV per atom
space-group type = Fm-3m (225)
energy of formation from the pure elements = -0.276 eV per atom
mass density = 7.39 g/cm3
D(E_F) = 1.859 states/eV per cell

---

Computed, not measured: AcCdRh2 after structural relaxation at the GGA-PBEsol level of DFT.

Cell and atoms, written as extended XYZ:
```
4
Lattice="-1.646 4.503 -0.365 -3.426 1.557 2.993 1.063 3.231 3.398" Properties=species:S:1:pos:R:3 pbc="T T T"
Cd 0.000 0.000 0.000
Rh -3.006 6.969 4.519
Rh -1.002 2.323 1.506
Ac -2.004 4.646 3.013
```

Values from the calculation:
V = 78.61 Å³ per cell
total magnetic moment = 0.00 μB per formula unit
total energy = -5.789 eV per atom
space-group type = Fm-3m (225)
energy of formation from the pure elements = -0.294 eV per atom
mass density = 11.52 g/cm3
D(E_F) = 1.905 states/eV per cell

---

Computed, not measured: SrAcCd2 after structural relaxation at the GGA-PBEsol level of DFT.

Cell and atoms, written as extended XYZ:
```
4
Lattice="5.631 0.000 0.000 2.816 4.877 0.000 2.816 1.626 4.598" Properties=species:S:1:pos:R:3 pbc="T T T"
Sr 0.000 0.000 0.000
Ac 5.631 3.251 2.299
Cd 8.447 4.877 3.448
Cd 2.816 1.626 1.149
```

Values from the calculation:
V = 126.26 Å³ per cell
total magnetic moment = 0.00 μB per formula unit
total energy = -2.503 eV per atom
space-group type = Fm-3m (225)
energy of formation from the pure elements = -0.318 eV per atom
mass density = 7.09 g/cm3
D(E_F) = 2.507 states/eV per cell

---

Computed, not measured: AcCu3 after structural relaxation at the GGA-PBEsol level of DFT.

Cell and atoms, written as extended XYZ:
```
8
Lattice="-0.936 -0.567 4.111 3.104 -5.684 -0.077 3.214 5.425 1.480" Properties=species:S:1:pos:R:3 pbc="T T T"
Cu 4.417 -1.334 4.124
Cu 4.899 0.347 2.264
Cu 2.416 -4.713 3.202
Cu 0.965 0.508 1.390
Cu 0.482 -1.173 3.250
Cu 2.966 3.887 2.312
Ac 2.475 1.297 4.044
Ac 2.907 -2.123 1.470
```

Values from the calculation:
V = 154.57 Å³ per cell
total magnetic moment = 0.00 μB per formula unit
total energy = -4.414 eV per atom
space-group type = P6_3/mmc (194)
energy of formation from the pure elements = -0.038 eV per atom
mass density = 8.97 g/cm3
D(E_F) = 5.027 states/eV per cell

---

Computed, not measured: Ac2CuGe after structural relaxation at the GGA-PBEsol level of DFT.

Cell and atoms, written as extended XYZ:
```
4
Lattice="-5.341 0.281 -0.067 -2.761 -0.492 4.555 -2.481 4.250 2.096" Properties=species:S:1:pos:R:3 pbc="T T T"
Ac -7.937 3.030 4.938
Ac -2.646 1.010 1.646
Ge 0.000 0.000 0.000
Cu -5.292 2.020 3.292
```

Values from the calculation:
V = 108.21 Å³ per cell
total magnetic moment = 0.00 μB per formula unit
total energy = -4.919 eV per atom
space-group type = Fm-3m (225)
energy of formation from the pure elements = -0.349 eV per atom
mass density = 9.06 g/cm3
D(E_F) = 3.165 states/eV per cell

---

Which of these has the lowest mass density?
CaAcMg2

---

What did the seventh record say?
Computed, not measured: AcCdHg2 after structural relaxation at the GGA-PBEsol level of DFT.

Cell and atoms, written as extended XYZ:
```
4
Lattice="-1.653 -3.947 -3.079 2.576 -1.119 -4.462 2.841 -4.426 -0.364" Properties=species:S:1:pos:R:3 pbc="T T T"
Hg 2.823 -7.120 -5.928
Hg 0.941 -2.373 -1.976
Cd 0.000 0.000 0.000
Ac 1.882 -4.747 -3.952
```

Values from the calculation:
V = 103.61 Å³ per cell
total magnetic moment = 0.00 μB per formula unit
total energy = -2.176 eV per atom
space-group type = Fm-3m (225)
energy of formation from the pure elements = -0.467 eV per atom
mass density = 11.87 g/cm3
D(E_F) = 2.045 states/eV per cell